No. 1
Compound: NaLi2C2
Source: Alexandria via LeMat-Bulk
Functional: PBEsol
Structure: relaxed

Cell and atoms, written as extended XYZ:
```
10
Lattice="3.496 0.000 0.000 0.000 5.981 0.000 0.000 0.000 5.981" Properties=species:S:1:pos:R:3 pbc="T T T"
Na 0.000 0.000 0.000
Na 0.000 2.990 2.990
C 0.000 2.532 5.523
C 0.000 5.523 3.448
C 0.000 3.448 0.458
C 0.000 0.458 2.532
Li 1.748 0.918 3.908
Li 1.748 3.908 5.062
Li 1.748 5.062 2.072
Li 1.748 2.072 0.918
```

Fermi-level density of states (states/eV/f.u.): 1.3
Electronic total energy (eV per cell): -46.60
Energy of formation (eV/atom): 0.264

No. 2
Compound: NaLi3C
Source: Alexandria via LeMat-Bulk
Functional: PBEsol
Structure: relaxed

Cell and atoms, written as extended XYZ:
```
5
Lattice="4.174 0.000 0.000 0.000 4.174 0.000 0.000 0.000 4.174" Properties=species:S:1:pos:R:3 pbc="T T T"
Na 2.087 2.087 2.087
C 0.000 0.000 0.000
Li 0.000 2.087 0.000
Li 0.000 0.000 2.087
Li 2.087 0.000 0.000
```

Fermi-level density of states (states/eV/f.u.): 1.5
Electronic total energy (eV per cell): -15.25
Energy of formation (eV/atom): 0.340

No. 3
Compound: Na2Li4Ni2C4SO16
Source: Alexandria via LeMat-Bulk
Functional: PBEsol
Structure: relaxed

Cell and atoms, written as extended XYZ:
```
58
Lattice="-8.966 0.878 -2.638 1.584 -7.363 -5.604 1.800 -0.986 9.142" Properties=species:S:1:pos:R:3 pbc="T T T"
Na -4.584 0.214 -1.052
Na -1.046 -2.339 2.777
Na -6.273 -3.565 3.435
Na -4.536 -5.132 -1.878
Li -2.209 -6.328 -3.608
Li -3.512 -4.379 2.189
Li 1.064 -4.609 3.260
Li -2.907 -2.438 -1.054
Li -6.212 -2.480 -1.876
Li 0.583 -2.172 5.590
Li -3.807 -1.525 4.023
Li -5.327 -5.953 -4.926
Ni 1.615 -7.072 1.623
Ni -0.077 -2.898 -0.146
Ni -2.868 -6.633 0.304
Ni 0.715 -6.579 -2.948
C -2.047 -0.648 0.338
C -0.717 -5.140 1.703
C -7.592 0.020 -1.188
C -5.472 -5.310 1.107
C -1.847 -0.594 5.105
C -1.528 -4.938 -1.741
C -6.603 -0.764 4.509
C -7.072 -4.270 -3.267
S -3.691 -3.243 -4.121
S -5.429 -1.675 1.191
O -0.613 -7.088 -4.386
O -1.955 -5.174 1.367
O -0.124 -6.173 2.197
O -1.611 -1.820 0.657
O -2.409 -0.440 -0.897
O -4.099 -2.835 -2.743
O -2.905 -0.599 5.844
O -0.046 -4.026 1.621
O -6.823 -2.135 1.468
O 0.474 -0.725 2.364
O -5.320 -5.354 2.400
O -2.407 -5.889 -1.600
O 2.320 -6.076 3.236
O -1.612 -3.870 -1.034
O -3.767 -4.731 -4.215
O -2.801 -3.606 4.013
O -4.518 -2.297 2.199
O -5.353 -0.187 1.286
O -7.507 -1.048 -1.896
O -0.674 -0.705 5.613
O -5.129 -6.392 -6.933
O -2.000 -0.550 3.812
O -0.627 -5.071 -2.656
O -0.497 -3.769 4.744
O 1.693 -2.756 7.229
O -4.415 -5.305 0.368
O -5.021 -2.083 -0.186
O -6.711 -4.478 -2.033
O -7.508 -3.098 -3.586
O -5.612 -7.093 -1.589
O -5.364 -0.730 4.845
O -6.923 -5.193 -4.147
```

Electronic total energy (eV per cell): -390.02
Formation energy (no corrections) (eV per atom): -1.555

No. 4
Compound: NaLi2PC
Source: Alexandria via LeMat-Bulk
Functional: PBEsol
Structure: relaxed

Cell and atoms, written as extended XYZ:
```
5
Lattice="-1.959 -3.188 -0.948 1.177 0.490 -4.079 3.489 -2.360 0.723" Properties=species:S:1:pos:R:3 pbc="T T T"
P -0.980 -1.594 -0.474
C 0.000 0.000 0.000
Na 1.353 -2.529 -2.152
Li 1.744 -1.180 0.362
Li 0.588 0.245 -2.040
```

Fermi-level density of states (states/eV/f.u.): 2.2
Electronic total energy (eV per cell): -19.17
Energy of formation (eV/atom): 0.319